[1]
! PBE LaRu3O, optimized geometry; values from VASP
&SYSTEM
  ibrav = 0, nat = 5, ntyp = 3
/
ATOMIC_SPECIES
La 138.91 La.upf
Ru 101.07 Ru.upf
O 16.00 O.upf
CELL_PARAMETERS angstrom
4.840 0.000 0.000
0.000 4.840 0.000
0.000 0.000 4.840
ATOMIC_POSITIONS crystal
La 0.000 0.000 0.000
Ru 0.000 0.000 0.500
Ru 0.000 0.500 0.000
Ru 0.500 0.000 0.000
O 0.500 0.500 0.500
! Energy, eV for the cell shown: -26.2
! Raw formation energy, eV per atom: 2.30
! Fermi-level density of states, states/eV per atom: 1.1943
! Energy relative to the lowest polymorph listed for this composition, meV per atom: 2288
! SG: Pm-3m

=====

[2]
! PBE La6Ru3O, optimized geometry; values from VASP
&SYSTEM
  ibrav = 0, nat = 20, ntyp = 3
/
ATOMIC_SPECIES
La 138.91 La.upf
Ru 101.07 Ru.upf
O 16.00 O.upf
CELL_PARAMETERS angstrom
5.668 -7.128 0.000
5.668 7.128 0.000
0.000 0.000 6.891
ATOMIC_POSITIONS crystal
La 0.052 0.948 0.500
La 0.117 0.563 0.527
La 0.218 0.782 0.001
La 0.303 0.366 0.023
La 0.366 0.303 0.523
La 0.437 0.883 0.527
La 0.563 0.117 0.027
La 0.634 0.697 0.023
La 0.697 0.634 0.523
La 0.782 0.218 0.501
La 0.883 0.437 0.027
La 0.948 0.052 0.000
Ru 0.070 0.283 0.287
Ru 0.283 0.070 0.787
Ru 0.395 0.605 0.751
Ru 0.605 0.395 0.251
Ru 0.717 0.930 0.287
Ru 0.930 0.717 0.787
O 0.206 0.794 0.352
O 0.794 0.206 0.852
! Energy, eV for the cell shown: -139.5
! Raw formation energy, eV per atom: -0.74
! Fermi-level density of states, states/eV per atom: 0.7241
! SG: Cmc2_1

=====

[3]
! PBE La4Ru2O, optimized geometry; values from VASP
&SYSTEM
  ibrav = 0, nat = 7, ntyp = 3
/
ATOMIC_SPECIES
La 138.91 La.upf
Ru 101.07 Ru.upf
O 16.00 O.upf
CELL_PARAMETERS angstrom
-2.445 2.445 7.236
2.445 -2.445 7.236
2.445 2.445 -7.236
ATOMIC_POSITIONS crystal
La 0.000 0.500 0.500
La 0.196 0.196 0.000
La 0.500 0.000 0.500
La 0.804 0.804 0.000
Ru 0.367 0.367 0.000
Ru 0.633 0.633 0.000
O 0.000 0.000 0.000
! Energy, eV for the cell shown: -49.7
! Raw formation energy, eV per atom: -0.92
! Fermi-level density of states, states/eV per atom: 0.5269
! SG: I4/mmm

=====

[4]
! PBE LaRu2O, optimized geometry; values from VASP
&SYSTEM
  ibrav = 0, nat = 8, ntyp = 3
/
ATOMIC_SPECIES
La 138.91 La.upf
Ru 101.07 Ru.upf
O 16.00 O.upf
CELL_PARAMETERS angstrom
-2.388 2.388 6.823
2.388 -2.388 6.823
2.388 2.388 -6.823
ATOMIC_POSITIONS crystal
La 0.375 0.625 0.750
La 0.625 0.375 0.250
Ru 0.000 0.000 0.000
Ru 0.000 0.000 0.500
Ru 0.000 0.500 0.000
Ru 0.500 0.000 0.500
O 0.125 0.875 0.250
O 0.875 0.125 0.750
! Energy, eV for the cell shown: -59.4
! Raw formation energy, eV per atom: -0.32
! Fermi-level density of states, states/eV per atom: 0.5759
! SG: I4_1/amd

=====

| no. | magnetic moment (μB per formula unit) |
| --- | --- |
| 1 | 5.32 |
| 2 | 0.00 |
| 3 | 0.00 |
| 4 | 0.00 |